The following is a DFT calculation (GGA-PBE) of a relaxed SrAlOs crystal.

Cell lengths 4.861, 4.861, 4.861 Å; angles 60.00, 60.00, 60.00 degrees
Fractional coordinates of all 3 atoms:
Sr: 0.000 0.000 0.000
Al: 0.250 0.250 0.250
Os: 0.750 0.750 0.750

space-group type: F-43m
DFT formation energy: 1.66 eV per atom
calculated total energy: -3.896 eV per atom
Fermi-level density of states: 6.81 states/eV/f.u.